No. 1
# Pu3AgIr (PBE, relaxed)
# Formation energy, eV per atom: -0.07
# D(E_F), states/eV/atom: 4.0611
# V, Å³/atom: 22.91
data_Pu3AgIr
_chemical_formula_sum 'Pu9 Ag3 Ir3'
_symmetry_space_group_name_H-M 'P m -3 m'
_symmetry_Int_Tables_number 221
_symmetry_space_group_name_Hall '-P 4 2 3'
_cell_length_a 7.004
_cell_length_b 7.004
_cell_length_c 7.004
_cell_angle_alpha 90.00
_cell_angle_beta 90.00
_cell_angle_gamma 90.00
loop_
_atom_site_label
_atom_site_type_symbol
_atom_site_fract_x
_atom_site_fract_y
_atom_site_fract_z
Pu1 Pu 0.000 0.000 0.000
Pu2 Pu 0.267 0.267 0.267
Ag1 Ag 0.000 0.000 0.500
Ir1 Ir 0.000 0.500 0.500


No. 2
# ThScPb2 (PBE, relaxed)
# Formation energy, eV per atom: -0.17
# D(E_F), states/eV/atom: 1.1424
# V, Å³/atom: 31.05
data_ThScPb2
_chemical_formula_sum 'Th4 Sc4 Pb8'
_symmetry_space_group_name_H-M 'P n m a'
_symmetry_Int_Tables_number 62
_symmetry_space_group_name_Hall '-P 2ac 2n'
_cell_length_a 6.318
_cell_length_b 6.317
_cell_length_c 12.448
_cell_angle_alpha 90.00
_cell_angle_beta 90.00
_cell_angle_gamma 90.00
loop_
_atom_site_label
_atom_site_type_symbol
_atom_site_fract_x
_atom_site_fract_y
_atom_site_fract_z
Th1 Th 0.003 0.250 0.125
Sc1 Sc 0.001 0.750 0.375
Pb1 Pb 0.001 0.750 0.134
Pb2 Pb 0.003 0.250 0.384